No. 1
The following is a DFT calculation (GGA-PBE) of HfInReH2 after structural relaxation.

Total magnetization   0.001 Bohr magnetons per cell
E   -5.461 eV per atom

abc: 3.822 3.822 5.185
angles: 90.00 90.00 90.00
Sites, in units of the cell vectors:
Hf 0.000 0.000 0.000
In 0.500 0.500 0.000
Re 0.500 0.500 0.500
H 0.000 0.500 0.500
H 0.500 0.000 0.500

=====

No. 2
The following is a DFT calculation (GGA-PBE) of SrFeAs after structural relaxation.

Total magnetization   3.552 Bohr magnetons per cell
ΔE_f   0.719 eV per atom

abc: 4.969 4.969 4.969
angles: 60.00 60.00 60.00
Sites, in units of the cell vectors:
Sr 0.000 0.000 0.000
Fe 0.250 0.250 0.250
As 0.750 0.750 0.750

=====

No. 3
The following is a DFT calculation (GGA-PBE) of GaSiRu2 after structural relaxation.

Distance to the lowest polymorph of the same formula   614 meV/atom
Total magnetization   0.000 Bohr magnetons per cell

abc: 5.439 5.439 5.439
angles: 106.32 106.32 115.97
Sites, in units of the cell vectors:
Ga 0.000 0.000 0.000
Ga 0.750 0.250 0.500
Si 0.250 0.750 0.500
Si 0.500 0.500 0.000
Ru 0.156 0.125 0.531
Ru 0.375 0.844 0.969
Ru 0.594 0.625 0.469
Ru 0.875 0.406 0.031

=====

No. 4
The following is a DFT calculation (GGA-PBE) of ZnCoIr2 after structural relaxation.

Total magnetization   2.099 Bohr magnetons per cell
ΔE_f   -0.035 eV per atom

abc: 4.554 4.554 4.695
angles: 99.75 99.75 34.69
Sites, in units of the cell vectors:
Zn 0.000 0.000 0.000
Co 0.500 0.500 0.500
Ir 0.245 0.245 0.744
Ir 0.755 0.755 0.256

=====

The lowest total magnetization belongs to which entry? GaSiRu2

=====

What is the formula in the third record? GaSiRu2